No. 1
{"formula": "BiP2Pt2", "functional": "GGA-PBE", "state": "optimized geometry", "de_polymorph_mev_per_atom": 0.0, "space_group": "I4/mmm, No. 139", "ef_ev_per_atom": -0.12, "volume_a3_per_fu": 93.0, "lattice": [[4.086, 0.000, 0.000], [0.000, 4.086, 0.000], [2.043, 2.043, 5.571]], "species": ["P", "P", "Bi", "Pt", "Pt"], "frac_coords": [[0.750, 0.250, 0.500], [0.250, 0.750, 0.500], [0.000, 0.000, 0.000], [0.375, 0.375, 0.251], [0.625, 0.625, 0.749]]}

=====

No. 2
{"formula": "BiPPt2", "functional": "GGA-PBE", "state": "optimized geometry", "de_polymorph_mev_per_atom": 480.9, "space_group": "Fm-3m, No. 225", "ef_ev_per_atom": 0.16, "volume_a3_per_fu": 74.2, "lattice": [[0.134, 2.261, 4.139], [0.282, 4.708, 0.108], [-3.706, 2.554, 1.414]], "species": ["P", "Bi", "Pt", "Pt"], "frac_coords": [[0.000, 0.000, 0.000], [0.500, 0.500, 0.500], [0.250, 0.250, 0.250], [0.750, 0.750, 0.750]]}

=====

No. 3
{"formula": "BiP2Pt2", "functional": "GGA-PBE", "state": "optimized geometry", "de_polymorph_mev_per_atom": 33.7, "space_group": "I4/mmm, No. 139", "ef_ev_per_atom": -0.09, "volume_a3_per_fu": 91.2, "lattice": [[4.429, 0.000, 0.000], [0.000, 4.429, 0.000], [2.215, 2.215, 4.650]], "species": ["P", "P", "Bi", "Pt", "Pt"], "frac_coords": [[0.374, 0.374, 0.252], [0.626, 0.626, 0.748], [0.000, 0.000, 0.000], [0.750, 0.250, 0.500], [0.250, 0.750, 0.500]]}

=====

No. 4
{"formula": "BiP2Pt", "functional": "GGA-PBE", "state": "optimized geometry", "space_group": "I-42d, No. 122", "ef_ev_per_atom": -0.05, "volume_a3_per_fu": 98.5, "lattice": [[-0.502, -4.619, 3.553], [5.777, -0.863, -0.305], [3.391, 0.689, 6.189]], "species": ["P", "P", "P", "P", "Bi", "Bi", "Pt", "Pt"], "frac_coords": [[0.560, 0.125, 0.250], [0.190, 0.625, 0.250], [0.375, 0.440, 0.750], [0.875, 0.810, 0.750], [0.000, 0.000, 0.000], [0.750, 0.250, 0.500], [0.500, 0.500, 0.000], [0.250, 0.750, 0.500]]}

=====

Number 1: D(E_F) 2.84 states/eV/cell. Number 2: D(E_F) 2.73 states/eV/cell. Number 3: D(E_F) 2.14 states/eV/cell. Number 4: D(E_F) 4.03 states/eV/cell.